(1)
Below is crystalline GdYZn3Ni2 at its relaxed geometry, with properties calculated at the GGA-PBE level.

Summary:
Magnetic moment: 0.007 μB per formula unit
Symmetry: Amm2 (38)
Raw total energy: -4.02 eV/atom

Unit cell a=3.623 b=3.811 c=18.905 alpha=90.00 beta=90.00 gamma=90.00
Fractional positions:
Gd1 0.000 0.000 0.000
Gd2 0.000 0.500 0.500
Y1 0.000 0.000 0.672
Y2 0.000 0.500 0.172
Zn1 0.000 0.000 0.836
Zn2 0.000 0.500 0.336
Zn3 0.500 0.000 0.266
Zn4 0.500 0.000 0.405
Zn5 0.500 0.500 0.766
Zn6 0.500 0.500 0.905
Ni1 0.500 0.000 0.127
Ni2 0.500 0.000 0.545
Ni3 0.500 0.500 0.045
Ni4 0.500 0.500 0.627



(2)
Below is crystalline GdZnNi at its relaxed geometry, with properties calculated at the GGA-PBE level.

Summary:
Magnetic moment: 0.004 μB per formula unit
Symmetry: P6_3/mmc (194)
Raw total energy: -3.92 eV/atom

Unit cell a=4.729 b=4.729 c=5.766 alpha=90.00 beta=90.00 gamma=120.00
Fractional positions:
Gd1 0.333 0.667 0.250
Gd2 0.667 0.333 0.750
Zn1 0.333 0.667 0.750
Zn2 0.667 0.333 0.250
Ni1 0.000 0.000 0.000
Ni2 0.000 0.000 0.500